Here is crystalline Ba6PtAu5 at its relaxed geometry from the Alexandria database. Energies are from PBE.

Cell lengths 5.658, 8.064, 8.914 Å; angles 90.00, 108.36, 90.00 degrees
Fractional coordinates of all 12 atoms:
Ba (0.000, 0.241, 0.000)
Ba (0.000, 0.759, 0.000)
Ba (0.337, 0.247, 0.675)
Ba (0.337, 0.753, 0.675)
Ba (0.663, 0.247, 0.325)
Ba (0.663, 0.753, 0.325)
Pt (0.500, 0.000, 0.000)
Au (0.167, 0.500, 0.333)
Au (0.171, 0.000, 0.342)
Au (0.500, 0.500, 0.000)
Au (0.829, 0.000, 0.658)
Au (0.833, 0.500, 0.667)

Computed properties:
ΔE_f = -0.69 eV per atom
D(E_F) = 0.8044 states/eV per atom

***

Here is crystalline BaPt3Au2 at its relaxed geometry from the Alexandria database. Energies are from PBE.

Cell lengths 5.674, 5.674, 4.508 Å; angles 90.00, 90.00, 120.00 degrees
Fractional coordinates of all 6 atoms:
Ba (0.000, 0.000, 0.000)
Pt (0.000, 0.500, 0.500)
Pt (0.500, 0.000, 0.500)
Pt (0.500, 0.500, 0.500)
Au (0.333, 0.667, 0.000)
Au (0.667, 0.333, 0.000)

Computed properties:
ΔE_f = -0.49 eV per atom
D(E_F) = 0.6906 states/eV per atom